VASP calculation (PBE+U) on a geometry-optimized Na2Er2CrO6 structure.

The structure in POSCAR format:
```
Na2Er2CrO6
1.0
2.821 -4.866 0.000
2.821 4.866 0.000
-1.496 0.000 5.637
Na Er Cr O
2 2 1 6
direct
0.151 0.849 0.000
0.849 0.151 0.000
0.335 0.665 0.500
0.665 0.335 0.500
0.000 0.000 0.500
0.046 0.355 0.691
0.235 0.235 0.310
0.355 0.046 0.691
0.645 0.954 0.309
0.765 0.765 0.690
0.954 0.645 0.309
```

Summary:
Symmetry ... C2/m
Total energy ... -76.00 eV per cell